CaLa2Y | PBEsol | relaxed

Cell lengths 3.4937, 3.4937, 38.8414 Å; angles 90.00, 90.00, 120.00 degrees
Closest atoms and distances in Å follow each position.
Space group R-3m (No. 166, hexagonal axes)
Unique sites:
Ca1 0.0000 0.0000 0.0000  6 Ca 3.49, 6 La 3.84
La1 0.0000 0.0000 0.4175  1 Y 3.20, 6 La 3.49
Y1 0.0000 0.0000 0.5000  2 La 3.20, 6 Y 3.49

Calculated values
DOS at the Fermi energy = 1.860 states/eV/atom
Energy relative to the elements = 0.22 eV/atom
Polymorph energy (0 for the lowest one) = 3.82 kcal/mol of atoms
Total energy = -56.295 eV for the cell shown